This record from the Alexandria database describes a relaxed structure of KCoF2. The functional is PBE+U.

The structure in extended XYZ format:
```
4
Lattice="0.000 3.094 3.094 3.094 0.000 3.094 3.094 3.094 0.000" Properties=species:S:1:pos:R:3 pbc="T T T"
K 0.000 0.000 0.000
Co 3.094 3.094 3.094
F 1.547 1.547 1.547
F 4.640 4.640 4.640
```

For the density of states at the Fermi level, the calculation gives 3.6 states/eV per cell. The total magnetic moment is 2.5 μB per cell. The symmetry is Fm-3m (225). The calculated total energy is -3.739 eV per atom.